{"formula": "CaAuI2O", "functional": "GGA-PBE", "state": "relaxed", "magmom_total_mub_per_atom": 0.0002, "total_energy_ev_per_atom": -3.106, "dos_at_fermi_per_ev_cell": 5.7, "e_form_raw_ev_per_fu": -2.19, "lattice_angstrom": [[5.844, 0.000, 0.000], [0.000, 5.844, 0.000], [0.000, 0.000, 4.106]], "species": ["Ca", "Au", "I", "I", "O"], "frac_coords": [[0.000, 0.000, 0.000], [0.500, 0.500, 0.500], [0.000, 0.500, 0.500], [0.500, 0.000, 0.500], [0.500, 0.500, 0.000]]}

=====

{"formula": "Pm4InNi", "functional": "GGA-PBE", "state": "relaxed", "magmom_total_mub_per_atom": 0.0000, "ef_mev_per_atom": -306, "total_energy_ev_per_atom": -4.893, "dos_at_fermi_per_ev_cell": 26.8, "lattice_angstrom": [[0.000, 6.960, 6.960], [6.960, 0.000, 6.960], [6.960, 6.960, 0.000]], "species": ["Pm", "Pm", "Pm", "Pm", "Pm", "Pm", "Pm", "Pm", "Pm", "Pm", "Pm", "Pm", "Pm", "Pm", "Pm", "Pm", "In", "In", "In", "In", "Ni", "Ni", "Ni", "Ni"], "frac_coords": [[0.187, 0.187, 0.813], [0.187, 0.813, 0.187], [0.187, 0.813, 0.813], [0.402, 0.402, 0.402], [0.402, 0.402, 0.794], [0.402, 0.794, 0.402], [0.559, 0.559, 0.941], [0.559, 0.941, 0.559], [0.559, 0.941, 0.941], [0.794, 0.402, 0.402], [0.813, 0.187, 0.187], [0.813, 0.187, 0.813], [0.813, 0.813, 0.187], [0.941, 0.559, 0.559], [0.941, 0.559, 0.941], [0.941, 0.941, 0.559], [0.169, 0.169, 0.169], [0.169, 0.169, 0.492], [0.169, 0.492, 0.169], [0.492, 0.169, 0.169], [0.178, 0.607, 0.607], [0.607, 0.178, 0.607], [0.607, 0.607, 0.178], [0.607, 0.607, 0.607]]}

=====

{"formula": "Hf2ScTi2", "functional": "GGA-PBE", "state": "relaxed", "magmom_total_mub_per_atom": 0.0000, "ef_mev_per_atom": 93, "total_energy_ev_per_atom": -8.312, "dos_at_fermi_per_ev_cell": 15.3, "lattice_angstrom": [[7.831, 0.000, 0.000], [0.000, 7.831, 0.000], [0.000, 0.000, 3.412]], "species": ["Hf", "Hf", "Hf", "Hf", "Sc", "Sc", "Ti", "Ti", "Ti", "Ti"], "frac_coords": [[0.167, 0.333, 0.000], [0.333, 0.833, 0.000], [0.667, 0.167, 0.000], [0.833, 0.667, 0.000], [0.000, 0.000, 0.500], [0.500, 0.500, 0.500], [0.126, 0.626, 0.500], [0.374, 0.126, 0.500], [0.626, 0.874, 0.500], [0.874, 0.374, 0.500]]}

=====

{"formula": "Pr2Mg3Tl3", "functional": "GGA-PBE", "state": "relaxed", "magmom_total_mub_per_atom": 0.0000, "ef_mev_per_atom": -265, "total_energy_ev_per_atom": -2.945, "dos_at_fermi_per_ev_cell": 4.5, "lattice_angstrom": [[4.864, 0.000, 0.000], [0.000, 4.912, 0.000], [0.000, 0.000, 9.058]], "species": ["Pr", "Pr", "Mg", "Mg", "Mg", "Tl", "Tl", "Tl"], "frac_coords": [[0.000, 0.000, 0.249], [0.000, 0.000, 0.751], [0.000, 0.500, 0.500], [0.500, 0.500, 0.252], [0.500, 0.500, 0.748], [0.000, 0.500, 0.000], [0.500, 0.000, 0.000], [0.500, 0.000, 0.500]]}

=====

{"formula": "MgNiI2N", "functional": "GGA-PBE", "state": "relaxed", "magmom_total_mub_per_atom": 0.6058, "total_energy_ev_per_atom": -3.000, "dos_at_fermi_per_ev_cell": 6.9, "e_form_raw_ev_per_fu": 3.80, "lattice_angstrom": [[5.721, 0.000, 0.000], [0.000, 5.721, 0.000], [0.000, 0.000, 4.019]], "species": ["Mg", "Ni", "I", "I", "N"], "frac_coords": [[0.000, 0.000, 0.000], [0.500, 0.500, 0.500], [0.000, 0.500, 0.000], [0.500, 0.000, 0.000], [0.000, 0.000, 0.500]]}

=====

{"formula": "Nd6Se3SN2", "functional": "GGA-PBE", "state": "relaxed", "magmom_total_mub_per_atom": 0.0000, "total_energy_ev_per_atom": -6.690, "dos_at_fermi_per_ev_cell": 4.5, "e_form_raw_ev_per_fu": -20.44, "lattice_angstrom": [[3.414, -5.907, 0.000], [3.414, 5.907, 0.000], [-2.274, 0.000, 6.809]], "species": ["Nd", "Nd", "Nd", "Nd", "Nd", "Nd", "Se", "Se", "Se", "S", "N", "N"], "frac_coords": [[0.075, 0.430, 0.791], [0.213, 0.213, 0.205], [0.430, 0.075, 0.791], [0.570, 0.925, 0.209], [0.787, 0.787, 0.795], [0.925, 0.570, 0.209], [0.000, 0.000, 0.500], [0.340, 0.660, 0.500], [0.660, 0.340, 0.500], [0.500, 0.500, 0.000], [0.167, 0.833, 0.000], [0.833, 0.167, 0.000]]}

=====

{"formula": "BPdCl2", "functional": "GGA-PBE", "state": "relaxed", "magmom_total_mub_per_atom": 0.2500, "total_energy_ev_per_atom": -2.868, "dos_at_fermi_per_ev_cell": 27.3, "e_form_raw_ev_per_fu": 4.09, "lattice_angstrom": [[6.498, 0.000, 0.000], [0.000, 6.498, 0.000], [0.000, 0.000, 6.498]], "species": ["B", "B", "B", "B", "Pd", "Pd", "Pd", "Pd", "Cl", "Cl", "Cl", "Cl", "Cl", "Cl", "Cl", "Cl"], "frac_coords": [[0.000, 0.000, 0.000], [0.000, 0.500, 0.500], [0.500, 0.000, 0.500], [0.500, 0.500, 0.000], [0.000, 0.000, 0.500], [0.000, 0.500, 0.000], [0.500, 0.000, 0.000], [0.500, 0.500, 0.500], [0.250, 0.250, 0.250], [0.250, 0.250, 0.750], [0.250, 0.750, 0.250], [0.250, 0.750, 0.750], [0.750, 0.250, 0.250], [0.750, 0.250, 0.750], [0.750, 0.750, 0.250], [0.750, 0.750, 0.750]]}

=====

{"formula": "KHgIr", "functional": "GGA-PBE", "state": "relaxed", "magmom_total_mub_per_atom": 0.0022, "ef_mev_per_atom": 419, "total_energy_ev_per_atom": -3.001, "dos_at_fermi_per_ev_cell": 3.9, "lattice_angstrom": [[3.006, 0.000, 0.000], [0.000, 4.473, 0.000], [0.000, 0.000, 11.760]], "species": ["K", "K", "Hg", "Hg", "Ir", "Ir"], "frac_coords": [[0.000, 0.000, 0.000], [0.500, 0.500, 0.500], [0.000, 0.000, 0.731], [0.500, 0.500, 0.231], [0.000, 0.000, 0.268], [0.500, 0.500, 0.768]]}

=====

{"formula": "CsCeSb2", "functional": "GGA-PBE", "state": "relaxed", "magmom_total_mub_per_atom": 0.1346, "total_energy_ev_per_atom": -4.297, "dos_at_fermi_per_ev_cell": 20.1, "e_form_raw_ev_per_fu": -2.16, "lattice_angstrom": [[4.785, 0.000, 0.000], [-2.392, 4.144, 0.000], [0.000, 0.000, 25.813]], "species": ["Cs", "Cs", "Cs", "Ce", "Ce", "Ce", "Sb", "Sb", "Sb", "Sb", "Sb", "Sb"], "frac_coords": [[0.000, 0.000, 0.000], [0.333, 0.667, 0.667], [0.667, 0.333, 0.333], [0.000, 0.000, 0.500], [0.333, 0.667, 0.167], [0.667, 0.333, 0.833], [0.000, 0.000, 0.224], [0.000, 0.000, 0.776], [0.333, 0.667, 0.443], [0.333, 0.667, 0.890], [0.667, 0.333, 0.110], [0.667, 0.333, 0.557]]}

=====

{"formula": "Cr5CuSe8", "functional": "GGA-PBE", "state": "relaxed", "magmom_total_mub_per_atom": 0.2067, "total_energy_ev_per_atom": -6.004, "dos_at_fermi_per_ev_cell": 5.4, "e_form_raw_ev_per_fu": -3.96, "lattice_angstrom": [[0.000, 5.114, 5.114], [5.114, 0.000, 5.114], [5.114, 5.114, 0.000]], "species": ["Cr", "Cr", "Cr", "Cr", "Cr", "Cu", "Se", "Se", "Se", "Se", "Se", "Se", "Se", "Se"], "frac_coords": [[0.000, 0.000, 0.000], [0.397, 0.397, 0.397], [0.397, 0.397, 0.809], [0.397, 0.809, 0.397], [0.809, 0.397, 0.397], [0.750, 0.750, 0.750], [0.130, 0.623, 0.623], [0.139, 0.139, 0.139], [0.139, 0.139, 0.583], [0.139, 0.583, 0.139], [0.583, 0.139, 0.139], [0.623, 0.130, 0.623], [0.623, 0.623, 0.130], [0.623, 0.623, 0.623]]}

=====

{"formula": "TiGeMoRh", "functional": "GGA-PBE", "state": "relaxed", "magmom_total_mub_per_atom": 0.0003, "ef_mev_per_atom": -405, "total_energy_ev_per_atom": -8.078, "dos_at_fermi_per_ev_cell": 21.1, "lattice_angstrom": [[6.195, 0.000, 0.000], [0.000, 6.195, 0.000], [0.000, 0.000, 6.195]], "species": ["Ti", "Ti", "Ti", "Ti", "Ge", "Ge", "Ge", "Ge", "Mo", "Mo", "Mo", "Mo", "Rh", "Rh", "Rh", "Rh"], "frac_coords": [[0.000, 0.000, 0.000], [0.000, 0.500, 0.500], [0.500, 0.000, 0.500], [0.500, 0.500, 0.000], [0.000, 0.000, 0.500], [0.000, 0.500, 0.000], [0.500, 0.000, 0.000], [0.500, 0.500, 0.500], [0.250, 0.250, 0.250], [0.250, 0.750, 0.750], [0.750, 0.250, 0.750], [0.750, 0.750, 0.250], [0.250, 0.250, 0.750], [0.250, 0.750, 0.250], [0.750, 0.250, 0.250], [0.750, 0.750, 0.750]]}

=====

{"formula": "Ce2PmH8", "functional": "GGA-PBE", "state": "relaxed", "magmom_total_mub_per_atom": 0.1742, "total_energy_ev_per_atom": -4.497, "dos_at_fermi_per_ev_cell": 14.0, "lattice_angstrom": [[-1.931, 2.640, 5.800], [1.931, -2.640, 5.800], [1.931, 2.640, -5.800]], "species": ["Ce", "Ce", "Pm", "H", "H", "H", "H", "H", "H", "H", "H"], "frac_coords": [[0.172, 0.172, 0.000], [0.828, 0.828, 0.000], [0.500, 0.500, 0.000], [0.082, 0.342, 0.740], [0.236, 0.000, 0.236], [0.330, 0.830, 0.500], [0.398, 0.658, 0.740], [0.602, 0.342, 0.260], [0.670, 0.170, 0.500], [0.764, 0.000, 0.764], [0.918, 0.658, 0.260]]}